1.
# Pa2NbHN5 (PBE, optimized geometry)
# Volume, Å³/atom: 11.699
# VASP energy, eV per atom: -9.30
data_Pa2NbHN5
_chemical_formula_sum 'Pa8 Nb4 H4 N20'
_symmetry_space_group_name_H-M 'C m c 21'
_symmetry_Int_Tables_number 36
_cell_length_a 3.276
_cell_length_b 13.120
_cell_length_c 9.798
_cell_angle_alpha 90.00
_cell_angle_beta 90.00
_cell_angle_gamma 90.00
loop_
_symmetry_equiv_pos_as_xyz
'x,y,z'
'-x,-y,z+1/2'
'-x,y,z'
'x,-y,z+1/2'
'x+1/2,y+1/2,z'
'-x+1/2,-y+1/2,z+1/2'
'-x+1/2,y+1/2,z'
'x+1/2,-y+1/2,z+1/2'
loop_
_atom_site_label
_atom_site_type_symbol
_atom_site_fract_x
_atom_site_fract_y
_atom_site_fract_z
Pa1 Pa 0.000 0.119 0.000
Pa2 Pa 0.000 0.136 0.643
Nb1 Nb 0.000 0.172 0.330
H1 H 0.000 0.480 0.710
N1 N 0.000 0.032 0.376
N2 N 0.000 0.300 0.986
N3 N 0.000 0.312 0.678
N4 N 0.000 0.346 0.330
N5 N 0.000 0.493 0.110


2.
# NbH2PdN (PBE, optimized geometry)
# Volume, Å³/atom: 10.901
# VASP energy, eV per atom: -4.78
data_NbH2PdN
_chemical_formula_sum 'Nb1 H2 Pd1 N1'
_symmetry_space_group_name_H-M 'P 4/m m m'
_symmetry_Int_Tables_number 123
_symmetry_space_group_name_Hall '-P 4 2'
_cell_length_a 3.732
_cell_length_b 3.732
_cell_length_c 3.914
_cell_angle_alpha 90.00
_cell_angle_beta 90.00
_cell_angle_gamma 90.00
loop_
_atom_site_label
_atom_site_type_symbol
_atom_site_fract_x
_atom_site_fract_y
_atom_site_fract_z
Nb1 Nb 0.000 0.000 0.000
H1 H 0.000 0.500 0.500
Pd1 Pd 0.500 0.500 0.000
N1 N 0.500 0.500 0.500


3.
# Nb2SiHN (PBE, optimized geometry)
# Volume, Å³/atom: 11.467
# VASP energy, eV per atom: -7.19
data_Nb2SiHN
_chemical_formula_sum 'Nb2 Si1 H1 N1'
_symmetry_space_group_name_H-M 'P 4/m m m'
_symmetry_Int_Tables_number 123
_symmetry_space_group_name_Hall '-P 4 2'
_cell_length_a 4.545
_cell_length_b 4.545
_cell_length_c 2.775
_cell_angle_alpha 90.00
_cell_angle_beta 90.00
_cell_angle_gamma 90.00
loop_
_atom_site_label
_atom_site_type_symbol
_atom_site_fract_x
_atom_site_fract_y
_atom_site_fract_z
Nb1 Nb 0.000 0.500 0.000
Si1 Si 0.000 0.000 0.500
H1 H 0.500 0.500 0.000
N1 N 0.500 0.500 0.500


4.
# NbTeHN2 (PBE, optimized geometry)
# Volume, Å³/atom: 11.301
# E above lowest polymorph, meV per atom: 712.5
data_NbTeHN2
_chemical_formula_sum 'Nb1 Te1 H1 N2'
_symmetry_space_group_name_H-M 'P 4/m m m'
_symmetry_Int_Tables_number 123
_symmetry_space_group_name_Hall '-P 4 2'
_cell_length_a 4.178
_cell_length_b 4.178
_cell_length_c 3.238
_cell_angle_alpha 90.00
_cell_angle_beta 90.00
_cell_angle_gamma 90.00
loop_
_atom_site_label
_atom_site_type_symbol
_atom_site_fract_x
_atom_site_fract_y
_atom_site_fract_z
Nb1 Nb 0.000 0.000 0.000
Te1 Te 0.500 0.500 0.000
H1 H 0.500 0.500 0.500
N1 N 0.000 0.500 0.500


5.
# NbTeHN2 (PBE, optimized geometry)
# Volume, Å³/atom: 18.348
# E above lowest polymorph, meV per atom: 0.0
data_NbTeHN2
_chemical_formula_sum 'Nb1 Te1 H1 N2'
_symmetry_space_group_name_H-M 'P 4/m m m'
_symmetry_Int_Tables_number 123
_symmetry_space_group_name_Hall '-P 4 2'
_cell_length_a 3.957
_cell_length_b 3.957
_cell_length_c 5.860
_cell_angle_alpha 90.00
_cell_angle_beta 90.00
_cell_angle_gamma 90.00
loop_
_atom_site_label
_atom_site_type_symbol
_atom_site_fract_x
_atom_site_fract_y
_atom_site_fract_z
Nb1 Nb 0.000 0.000 0.000
Te1 Te 0.000 0.000 0.500
H1 H 0.500 0.500 0.500
N1 N 0.000 0.500 0.000


6.
# NbVHN2 (PBE, optimized geometry)
# Volume, Å³/atom: 8.452
# VASP energy, eV per atom: -7.52
data_NbVHN2
_chemical_formula_sum 'Nb1 V1 H1 N2'
_symmetry_space_group_name_H-M 'P 4/m m m'
_symmetry_Int_Tables_number 123
_symmetry_space_group_name_Hall '-P 4 2'
_cell_length_a 3.829
_cell_length_b 3.829
_cell_length_c 2.883
_cell_angle_alpha 90.00
_cell_angle_beta 90.00
_cell_angle_gamma 90.00
loop_
_atom_site_label
_atom_site_type_symbol
_atom_site_fract_x
_atom_site_fract_y
_atom_site_fract_z
Nb1 Nb 0.000 0.000 0.000
V1 V 0.500 0.500 0.000
H1 H 0.500 0.500 0.500
N1 N 0.000 0.500 0.500


7.
# Nd4H2N3 (PBE, optimized geometry)
# Volume, Å³/atom: 18.074
# VASP energy, eV per atom: -6.65
data_Nd4H2N3
_chemical_formula_sum 'Nd8 H4 N6'
_symmetry_space_group_name_H-M 'C 1 2/m 1'
_symmetry_Int_Tables_number 12
_cell_length_a 12.231
_cell_length_b 3.611
_cell_length_c 9.356
_cell_angle_alpha 90.00
_cell_angle_beta 128.07
_cell_angle_gamma 90.00
loop_
_symmetry_equiv_pos_as_xyz
'x,y,z'
'-x,-y,-z'
'-x,y,-z'
'x,-y,z'
'x+1/2,y+1/2,z'
'-x+1/2,-y+1/2,-z'
'-x+1/2,y+1/2,-z'
'x+1/2,-y+1/2,z'
loop_
_atom_site_label
_atom_site_type_symbol
_atom_site_fract_x
_atom_site_fract_y
_atom_site_fract_z
Nd1 Nd 0.088 0.000 0.390
Nd2 Nd 0.241 0.500 0.797
H1 H 0.151 0.000 0.882
N1 N 0.000 0.500 0.500
N2 N 0.194 0.500 0.307


8.
# Nd7HN5 (PBE, optimized geometry)
# Volume, Å³/atom: 19.066
# VASP energy, eV per atom: -7.10
data_Nd7HN5
_chemical_formula_sum 'Nd14 H2 N10'
_symmetry_space_group_name_H-M 'P 1 21 1'
_symmetry_Int_Tables_number 4
_cell_length_a 3.623
_cell_length_b 22.320
_cell_length_c 6.392
_cell_angle_alpha 90.00
_cell_angle_beta 106.42
_cell_angle_gamma 90.00
loop_
_symmetry_equiv_pos_as_xyz
'x,y,z'
'-x,y+1/2,-z'
loop_
_atom_site_label
_atom_site_type_symbol
_atom_site_fract_x
_atom_site_fract_y
_atom_site_fract_z
Nd1 Nd 0.027 0.000 0.053
Nd2 Nd 0.138 0.284 0.276
Nd3 Nd 0.139 0.716 0.279
Nd4 Nd 0.324 0.082 0.648
Nd5 Nd 0.326 0.918 0.650
Nd6 Nd 0.414 0.350 0.829
Nd7 Nd 0.416 0.650 0.831
H1 H 0.165 0.500 0.330
N1 N 0.053 0.389 0.106
N2 N 0.054 0.611 0.108
N3 N 0.226 0.177 0.451
N4 N 0.228 0.823 0.454
N5 N 0.499 0.250 0.999